A crystal of RbCdS2 relaxed with PBEsol, computed with SCAN.

Unit cell a=6.585 b=6.585 c=6.585 alpha=109.54 beta=109.54 gamma=109.33
Positions (direct):
Rb  0.000  0.000  0.000
Rb  0.750  0.250  0.500
Cd  0.250  0.750  0.500
Cd  0.500  0.500  0.000
S  0.209  0.625  0.084
S  0.375  0.459  0.584
S  0.541  0.125  0.916
S  0.875  0.791  0.416

Energy relative to the elements, uncorrected: -0.678 eV per atom
Calculated volume: 27.47 A^3/atom
Total DFT energy (no corrections): -18.280 eV/atom


A crystal of RbCd2Sb2 relaxed with PBEsol, computed with SCAN.

Unit cell a=7.150 b=7.150 c=7.150 alpha=140.31 beta=140.31 gamma=57.38
Positions (direct):
Rb  0.000  0.000  0.000
Cd  0.391  0.391  0.000
Cd  0.609  0.609  0.000
Sb  0.250  0.750  0.500
Sb  0.750  0.250  0.500

Energy relative to the elements, uncorrected: -0.256 eV per atom
Calculated volume: 29.56 A^3/atom
Total DFT energy (no corrections): -31.474 eV/atom


A crystal of RbCdSb3 relaxed with PBEsol, computed with SCAN.

Unit cell a=5.588 b=5.588 c=5.588 alpha=90.00 beta=90.00 gamma=90.00
Positions (direct):
Rb  0.000  0.000  0.000
Cd  0.500  0.500  0.500
Sb  0.000  0.500  0.500
Sb  0.500  0.000  0.500
Sb  0.500  0.500  0.000

Energy relative to the elements, uncorrected: 0.282 eV per atom
Calculated volume: 34.89 A^3/atom
Total DFT energy (no corrections): -32.305 eV/atom


The lowest energy relative to the elements, uncorrected belongs to which entry? RbCdS2